! AgPt3O GGA-PBE relaxed; values from VASP
&SYSTEM
  ibrav = 0, nat = 5, ntyp = 3
/
ATOMIC_SPECIES
Ag 107.87 Ag.upf
Pt 195.08 Pt.upf
O 16.00 O.upf
CELL_PARAMETERS angstrom
4.911 0.000 0.000
0.000 4.911 0.000
0.000 0.000 4.911
ATOMIC_POSITIONS crystal
Ag 0.000 0.000 0.000
Pt 0.000 0.000 0.500
Pt 0.000 0.500 0.000
Pt 0.500 0.000 0.000
O 0.500 0.500 0.500
! Energy above the lowest structure with this stoichiometry, meV/atom: 1766.0
! Space group: No. 221
! Total DFT energy (no corrections), eV per atom: -2.95
! E_form (uncorrected), kJ/mol of formula units: 1078